A relaxed Pm2NbGa4Pt3 crystal. Source: Alexandria via LeMat-Bulk, functional PBE.

Summary:
Calculated density in Mg/m³: 10.552
Energy in eV per atom: -5.787

```
10
Lattice="4.1837 0.0000 0.0000 0.0000 4.1837 0.0000 0.0000 0.0000 11.2114" Properties=species:S:1:pos:R:3 pbc="T T T"
Pm 2.0919 0.0000 2.7851
Pm 0.0000 2.0919 8.4263
Nb 2.0919 2.0919 5.6057
Ga 2.0919 2.0919 0.0000
Ga 0.0000 0.0000 0.0000
Ga 2.0919 0.0000 7.2371
Ga 0.0000 2.0919 3.9743
Pt 0.0000 0.0000 5.6057
Pt 2.0919 0.0000 9.7322
Pt 0.0000 2.0919 1.4792
```

A relaxed KNaTl6 crystal. Source: Alexandria via LeMat-Bulk, functional PBE.

Summary:
Calculated density in Mg/m³: 8.457
Energy in eV per atom: -2.139

```
8
Lattice="5.3810 0.0000 0.0000 0.0000 7.0976 0.3065 0.0000 -2.8676 6.4998" Properties=species:S:1:pos:R:3 pbc="T T T"
K 2.6905 0.9366 4.1355
Na 0.0000 -1.7580 5.8102
Tl 0.0000 -0.5878 2.4040
Tl 0.0000 1.8142 6.2689
Tl 0.0000 3.0027 2.8515
Tl 2.6905 2.6793 0.9703
Tl 2.6905 4.5462 3.9743
Tl 2.6905 6.2838 0.8123
```

A relaxed KHg3Sb3 crystal. Source: Alexandria via LeMat-Bulk, functional PBE.

Summary:
Calculated density in Mg/m³: 6.382
Uncorrected formation energy in kcal/mol of atoms: -0.391

```
14
Lattice="-4.6048 -5.8555 3.0772 4.4647 -5.5178 -3.8185 4.8809 -0.4770 6.3961" Properties=species:S:1:pos:R:3 pbc="T T T"
Sb 3.5566 -1.6180 2.2434
Sb 5.7890 -4.3768 0.3341
Sb 1.3583 -3.2855 6.3357
Sb -1.2212 -7.1505 0.3986
Sb -1.0822 -3.0470 3.1376
Sb 1.0812 -4.2228 -1.1400
K 2.3704 -5.9252 2.8274
K 0.0000 0.0000 0.0000
Hg 1.2892 -1.7024 3.9673
Hg 3.4526 -2.8781 -0.3103
Hg 1.0461 -7.0661 -1.3253
Hg -1.0131 -4.6302 5.5060
Hg 5.8930 -3.1166 2.8878
Hg -1.1862 -4.3072 0.5840
```

A relaxed NaMnNi crystal. Source: Alexandria via LeMat-Bulk, functional PBE.

Summary:
Energy relative to the lowest polymorph listed for this composition in meV per atom: 182
Calculated density in Mg/m³: 4.569

```
6
Lattice="-1.0276 2.1333 0.9365 -2.9611 -0.4366 -2.2546 -4.8678 -5.4112 7.4409" Properties=species:S:1:pos:R:3 pbc="T T T"
Ni -4.9892 -3.6845 4.1519
Ni -6.1109 -4.9984 5.8795
Mn -5.4567 -4.0724 7.9550
Mn -4.5113 -2.9728 6.5004
Na -2.5977 -1.1370 0.5178
Na -3.1092 -1.3434 4.3435
```

A relaxed BiSe2BrN crystal. Source: Alexandria via LeMat-Bulk, functional PBE.

Summary:
Energy relative to the lowest polymorph listed for this composition in meV per atom: 461
Calculated density in Mg/m³: 6.797
Uncorrected formation energy in kcal/mol of atoms: 26.976

```
5
Lattice="5.4015 0.0000 0.0000 0.0000 5.4015 0.0000 0.0000 0.0000 3.8589" Properties=species:S:1:pos:R:3 pbc="T T T"
Se 0.0000 2.7007 0.0000
Se 2.7007 0.0000 0.0000
Bi 2.7007 2.7007 1.9294
Br 0.0000 0.0000 0.0000
N 0.0000 0.0000 1.9294
```

A relaxed Li3FeW crystal. Source: Alexandria via LeMat-Bulk, functional PBE.

Summary:
Energy relative to the lowest polymorph listed for this composition in meV per atom: 0
Calculated density in Mg/m³: 6.548

```
5
Lattice="-0.9211 -3.3953 -1.9913 2.6738 0.9611 -2.8756 2.8886 -1.9724 2.0267" Properties=species:S:1:pos:R:3 pbc="T T T"
Fe 0.0000 0.0000 0.0000
W 2.3206 -2.2033 -1.4201
Li 1.3369 0.4806 -1.4378
Li 1.4443 -0.9862 1.0134
Li -0.4606 -1.6976 -0.9957
```

A relaxed Nd3AsN5 crystal. Source: Alexandria via LeMat-Bulk, functional PBE.

Summary:
Calculated density in Mg/m³: 7.368
Uncorrected formation energy in kcal/mol of atoms: -17.424

```
18
Lattice="-6.6097 0.9696 1.1284 -1.4857 -4.0379 -5.2335 3.9837 -2.9479 5.5289" Properties=species:S:1:pos:R:3 pbc="T T T"
Nd -4.7362 -0.0577 -0.1616
Nd -3.3592 -3.0106 -3.9435
Nd -6.4466 -1.9348 -2.6132
Nd -1.6488 -1.1336 -1.4919
Nd -0.0320 -2.2410 1.7381
Nd -4.0797 -3.7752 -0.3144
As -3.3369 -1.7563 2.3023
As -0.7749 -4.2600 -0.8786
N -4.5265 -3.1200 2.4176
N -2.1734 -2.2281 3.6108
N -0.0433 -5.9055 -1.0913
N -1.5327 -4.4501 0.7578
N 0.4148 -2.8962 -0.9939
N -1.9383 -3.7881 -2.1871
N -4.0684 -0.1107 2.5151
N -2.5791 -1.5662 0.6659
N -4.0477 -1.5342 -2.0526
N 0.0000 0.0000 0.0000
```

A relaxed POs crystal. Source: Alexandria via LeMat-Bulk, functional PBE.

Summary:
Calculated density in Mg/m³: 13.142
Energy in eV per atom: -8.293

```
4
Lattice="3.1836 2.9451 -3.3195 -3.2934 -0.2282 4.3508 2.8755 -0.6962 2.1401" Properties=species:S:1:pos:R:3 pbc="T T T"
P 3.1906 1.3698 0.8312
P -0.4250 0.6509 2.3402
Os 4.6566 2.0880 -0.9049
Os -1.8909 -0.0674 4.0763
```

A relaxed CeAl4Rh2 crystal. Source: Alexandria via LeMat-Bulk, functional PBE.

Summary:
Energy relative to the lowest polymorph listed for this composition in meV per atom: 22
Calculated density in Mg/m³: 6.176

```
28
Lattice="-3.8877 0.0948 1.7352 0.0305 -6.6587 0.4322 7.0098 1.0478 15.6483" Properties=species:S:1:pos:R:3 pbc="T T T"
Rh 2.8323 -4.4254 9.2004
Rh 0.3203 -1.0907 8.6153
Rh 3.8254 -0.6073 16.4421
Rh -0.6728 -4.9088 1.3736
Rh 4.5350 -5.5398 13.0764
Rh -1.3825 0.0237 4.7393
Rh 2.1351 -2.2290 12.7437
Rh 1.0174 -3.2871 5.0720
Al 3.8976 -0.9904 11.3995
Al -0.7450 -4.5257 6.4162
Al 2.7605 -4.1540 14.2503
Al 0.3920 -1.3621 3.5655
Al 3.8619 -3.6405 11.4643
Al -0.7093 -1.8756 6.3514
Al 2.7900 -0.1311 14.0964
Al 0.3625 -5.3850 3.7194
Al 2.7824 -0.5227 8.8753
Al 0.3701 -4.9934 8.9404
Al 3.8699 -3.3538 16.6921
Al -0.7174 -2.1623 1.1236
Al 2.0433 -2.8718 7.3478
Al 1.1092 -2.6443 10.4680
Al -2.4107 0.1321 2.4296
Al 5.5633 -5.6482 15.3861
Ce 1.5851 -5.7346 11.7030
Ce 1.5675 0.2185 6.1127
Ce 5.0859 -2.2177 14.1290
Ce -1.9334 -3.2984 3.6867
```

A relaxed Tl4Hg5As crystal. Source: Alexandria via LeMat-Bulk, functional PBE.

Summary:
Calculated density in Mg/m³: 10.348
Energy in eV per atom: -1.562

```
10
Lattice="-3.5325 1.4922 2.0845 -3.7975 -7.4315 -1.1156 2.9162 -7.2592 5.5691" Properties=species:S:1:pos:R:3 pbc="T T T"
Tl 0.7458 -4.5110 4.4933
Tl -2.6464 -6.2080 -0.0406
Tl -5.1597 -8.6874 2.0447
Tl -1.7675 -6.9905 6.5786
Hg -3.6256 -9.2176 5.0242
Hg -2.5521 -5.1840 3.9558
Hg -1.8618 -8.0144 2.5822
Hg -3.6650 -2.9696 0.4844
Hg -0.7883 -3.9808 1.5138
As -1.7663 0.7461 1.0422
```

A relaxed Ac6Ge2AsBr3 crystal. Source: Alexandria via LeMat-Bulk, functional PBE.

Summary:
Calculated density in Mg/m³: 7.362
Uncorrected formation energy in kcal/mol of atoms: -28.494

```
12
Lattice="4.5988 0.0000 0.0000 0.0000 9.1638 0.3395 -2.2994 -2.6327 9.6540" Properties=species:S:1:pos:R:3 pbc="T T T"
Ac 0.0000 6.4580 6.8678
Ac 2.2994 4.2728 3.5449
Ac 2.2994 0.0731 3.1258
Ac 0.0000 2.1002 0.2173
Ac 2.2994 4.4309 9.7762
Ac 0.0000 2.2583 6.4486
Ge 2.2994 4.3666 6.6761
Ge 0.0000 2.1645 3.3175
As 2.2994 0.0000 0.0000
Br 2.2994 4.5819 0.1698
Br 2.2994 -0.2265 6.4769
Br 0.0000 6.7576 3.5167
```

A relaxed CaZn5PdAu2 crystal. Source: Alexandria via LeMat-Bulk, functional PBE.

Summary:
Calculated density in Mg/m³: 7.762
Energy in eV per atom: -2.353

```
9
Lattice="-0.5493 2.1327 4.4340 0.9444 -4.3329 2.2011 7.3842 1.6669 0.1130" Properties=species:S:1:pos:R:3 pbc="T T T"
Ca 3.6921 0.8334 0.0565
Zn 1.7930 -1.8683 1.1208
Zn 1.0462 1.3645 2.2372
Zn 6.5356 -0.7977 1.1933
Zn 5.7888 2.4351 2.3098
Zn 3.8897 -0.2666 3.3741
Pd 0.0000 0.0000 0.0000
Au 1.5482 -0.7952 3.3382
Au 6.2311 0.2619 3.4099
```

Q: What is the calculated density in the third record?
A: 6.382 Mg/m³

Q: What is the calculated density in the eleventh record?
A: 7.362 Mg/m³